## PmPr4Er2Mg (PBE)

Data for crystalline PmPr4Er2Mg at its relaxed geometry.

The space group is Pmmm (No. 47) and the conventional cell measures 5.759, 5.765 and 7.983 Å, with angles of 90.00, 90.00 and 90.00 degrees. The asymmetric unit holds Pm at (0.000, 0.000, 0.000), Pr at (0.000, 0.500, 0.268), Pr at (0.500, 0.000, 0.266), Er at (0.000, 0.000, 0.500), Er at (0.500, 0.500, 0.000) and Mg at (0.500, 0.500, 0.500).

As for the total magnetization: 0.00 μB per formula unit. As for the energy of formation from the pure elements: 41.6 kJ/mol of formula units.